(1)
Density functional theory data (PBE) for a relaxed Ac2PmSn2 crystal.

Geometry as CIF:
```
data_Ac2PmSn2
_cell_length_a 4.885
_cell_length_b 7.112
_cell_length_c 10.221
_cell_angle_alpha 90.00
_cell_angle_beta 90.00
_cell_angle_gamma 90.00
_symmetry_space_group_name_H-M 'I m m m'
_symmetry_Int_Tables_number 71
_symmetry_space_group_name_Hall '-I 2 2'
loop_
_atom_site_label
_atom_site_fract_x
_atom_site_fract_y
_atom_site_fract_z
Ac1 0.000 0.000 0.203
Pm1 0.000 0.500 0.000
Sn1 0.000 0.286 0.500
```

Computed properties:
E   -4.8331 eV per atom
Formation energy   -638.5 meV/atom

=====

(2)
Density functional theory data (PBE) for a relaxed Pm6Nd3Dy2Tl crystal.

Geometry as CIF:
```
data_Pm6Nd3Dy2Tl
_cell_length_a 6.250
_cell_length_b 10.874
_cell_length_c 11.874
_cell_angle_alpha 90.00
_cell_angle_beta 100.38
_cell_angle_gamma 90.00
_symmetry_space_group_name_H-M 'C 1 2/m 1'
_symmetry_Int_Tables_number 12
loop_
_symmetry_equiv_pos_as_xyz
'x,y,z'
'-x,-y,-z'
'-x,y,-z'
'x,-y,z'
'x+1/2,y+1/2,z'
'-x+1/2,-y+1/2,-z'
'-x+1/2,y+1/2,-z'
'x+1/2,-y+1/2,z'
loop_
_atom_site_label
_atom_site_fract_x
_atom_site_fract_y
_atom_site_fract_z
Pm1 0.243 0.163 0.243
Pm2 0.246 0.000 0.754
Nd1 0.000 0.169 0.500
Nd2 0.000 0.500 0.500
Dy1 0.000 0.334 0.000
Tl1 0.000 0.000 0.000
```

Computed properties:
E   -4.5421 eV per atom
Formation energy   -10.6 meV/atom

=====

(3)
Density functional theory data (PBE) for a relaxed Ac2InPd5Pt2 crystal.

Geometry as CIF:
```
data_Ac2InPd5Pt2
_cell_length_a 9.923
_cell_length_b 9.923
_cell_length_c 4.186
_cell_angle_alpha 90.00
_cell_angle_beta 90.00
_cell_angle_gamma 90.00
_symmetry_space_group_name_H-M 'P 4/m b m'
_symmetry_Int_Tables_number 127
_symmetry_space_group_name_Hall '-P 4 2ab'
loop_
_atom_site_label
_atom_site_fract_x
_atom_site_fract_y
_atom_site_fract_z
Ac1 0.170 0.330 0.000
In1 0.000 0.000 0.000
Pd1 0.000 0.500 0.500
Pd2 0.064 0.801 0.500
Pt1 0.127 0.627 0.000
```

Computed properties:
E   -5.6336 eV per atom
Formation energy   -733.5 meV/atom

=====

(4)
Density functional theory data (PBE) for a relaxed BeAs2Pt crystal.

Geometry as CIF:
```
data_BeAs2Pt
_cell_length_a 2.826
_cell_length_b 3.317
_cell_length_c 7.268
_cell_angle_alpha 90.00
_cell_angle_beta 90.00
_cell_angle_gamma 90.00
_symmetry_space_group_name_H-M 'P m m 2'
_symmetry_Int_Tables_number 25
loop_
_symmetry_equiv_pos_as_xyz
'x,y,z'
'-x,-y,z'
'-x,y,z'
'x,-y,z'
loop_
_atom_site_label
_atom_site_fract_x
_atom_site_fract_y
_atom_site_fract_z
Be1 0.000 0.000 0.000
As1 0.000 0.000 0.387
As2 0.500 0.500 0.804
Pt1 0.500 0.500 0.162
```

Computed properties:
E   -4.8275 eV per atom
Formation energy   -61.0 meV/atom

=====

no.,volume (Å³ per cell)
1,355.1
2,793.8
3,412.2
4,68.1